one:
La2Tb12Sm5 | PBE-GGA | relaxed

```
19
Lattice="9.350 0.000 0.000 -4.675 11.451 -1.706 0.000 -5.410 6.795" Properties=species:S:1:pos:R:3 pbc="T T T"
Tb 6.448 -0.321 3.622
Tb -3.006 2.884 5.180
Tb 0.000 8.923 -0.051
Tb 4.675 -2.882 5.140
Tb 2.902 -0.321 3.622
Tb 0.000 0.377 1.687
Tb 1.669 3.157 -0.090
Tb 3.006 2.884 5.180
Tb 1.773 6.363 1.468
Tb -1.773 6.363 1.468
Tb 4.675 5.665 3.403
Tb 7.681 3.157 -0.090
Sm 4.675 2.527 1.956
Sm 4.675 5.570 -0.152
Sm 0.000 3.515 3.133
Sm 0.000 -2.705 3.398
Sm 0.000 0.472 5.241
La 2.993 0.000 0.000
La 6.357 0.000 0.000
```

Values from the calculation:
- DOS(E_F) (states/eV/f.u.) = 28.03

---

two:
La2Tb12Sm5 | PBE-GGA | relaxed

```
19
Lattice="6.865 0.276 -0.076 -3.201 10.535 -10.365 0.145 -6.469 14.980" Properties=species:S:1:pos:R:3 pbc="T T T"
Tb -0.969 -0.050 8.540
Tb 4.778 4.391 -4.001
Tb 1.127 4.799 -4.064
Tb 0.992 5.121 1.657
Tb 2.630 3.908 -1.303
Tb 1.179 0.434 5.841
Tb 2.682 -0.457 8.602
Tb -0.814 3.063 -0.761
Tb 2.817 -0.780 2.881
Tb -2.505 5.667 0.903
Tb 6.314 -1.325 3.635
Tb 4.623 1.279 5.299
Sm -0.017 6.444 -1.469
Sm 3.826 -2.103 6.007
Sm 0.186 1.741 2.676
Sm 3.623 2.601 1.863
Sm 0.072 -3.235 7.490
La 1.660 0.464 -0.309
La 2.149 3.877 4.847
```

Values from the calculation:
- DOS(E_F) (states/eV/f.u.) = 31.13

---

two takes first place; second place is 3.6 kJ/mol of atoms up.